(1)
TaTl3Cr3Se8: optimized geometry, PBE.

Values from the calculation:
mass density: 6.930 Mg/m³
raw formation energy: -528 meV/atom

Unit cell a=12.942 b=7.481 c=8.941 alpha=90.00 beta=118.88 gamma=90.00
Space group C2/m (No. 12)
Inequivalent atoms, fractional coordinates:
Ta1 0.000 0.000 0.000 (multiplicity 2)
Tl1 0.000 0.000 0.500 (multiplicity 2)
Tl2 0.250 0.250 0.500 (multiplicity 4)
Cr1 0.000 0.500 0.000 (multiplicity 2)
Cr2 0.250 0.250 0.000 (multiplicity 4)
Se1 0.023 0.253 0.816 (multiplicity 8)
Se2 0.225 0.500 0.175 (multiplicity 4)
Se3 0.230 0.000 0.184 (multiplicity 4)

(2)
Li2NpAlO6: optimized geometry, PBE.

Values from the calculation:
mass density: 5.871 Mg/m³
raw formation energy: -2498 meV/atom

Unit cell a=5.1741 b=5.1741 c=13.6832 alpha=90.00 beta=90.00 gamma=120.00
Space group R3 (No. 146, hexagonal axes)
Inequivalent atoms, fractional coordinates:
Li1 0.0000 0.0000 0.0000 (multiplicity 3)
Li2 0.0000 0.0000 0.4945 (multiplicity 3)
Np1 0.0000 0.0000 0.7118 (multiplicity 3)
Al1 0.0000 0.0000 0.2131 (multiplicity 3)
O1 0.0006 0.6198 0.9552 (multiplicity 9)
O2 0.0572 0.3534 0.7919 (multiplicity 9)

(3)
Zr2NpAg2Se6: optimized geometry, PBE.

Values from the calculation:
mass density: 6.529 Mg/m³
raw formation energy: -908 meV/atom

Unit cell a=6.854 b=11.921 c=6.963 alpha=90.00 beta=97.50 gamma=90.00
Space group C2/m (No. 12)
Inequivalent atoms, fractional coordinates:
Zr1 0.000 0.160 0.000 (multiplicity 4)
Np1 0.000 0.500 0.000 (multiplicity 2)
Ag1 0.000 0.382 0.500 (multiplicity 4)
Se1 0.182 0.000 0.236 (multiplicity 4)
Se2 0.207 0.321 0.227 (multiplicity 8)